[1]
Pa5Zn3Ga3: optimized geometry, PBE.

Geometry as POSCAR:
```
Pa5Zn3Ga3
1.0
9.487 0.000 0.000
-4.744 8.216 0.000
0.000 0.000 2.995
Pa Zn Ga
5 3 3
Direct
0.000 0.363 0.000
0.333 0.667 0.000
0.363 0.000 0.000
0.637 0.637 0.000
0.667 0.333 0.000
0.000 0.851 0.000
0.149 0.149 0.000
0.851 0.000 0.000
0.000 0.635 0.500
0.365 0.365 0.500
0.635 0.000 0.500
```

Computed properties:
raw total energy	-57.88	eV per formula unit
ΔH_f (0 K)	241	kJ/mol of formula units
mass density	11.10	Mg/m³

***

[2]
Pa2Zn6Ga3: optimized geometry, PBE.

Geometry as POSCAR:
```
Pa2Zn6Ga3
1.0
7.555 0.000 0.000
-3.778 6.543 0.000
0.000 0.000 4.050
Pa Zn Ga
2 6 3
Direct
0.333 0.667 0.000
0.667 0.333 0.000
0.000 0.285 0.500
0.000 0.806 0.000
0.194 0.194 0.000
0.285 0.000 0.500
0.715 0.715 0.500
0.806 0.000 0.000
0.000 0.611 0.500
0.389 0.389 0.500
0.611 0.000 0.500
```

Computed properties:
raw total energy	-37.61	eV per formula unit
ΔH_f (0 K)	-183	kJ/mol of formula units
mass density	8.82	Mg/m³

***

[3]
Pa3Zn4Ga2: optimized geometry, PBE.

Geometry as POSCAR:
```
Pa3Zn4Ga2
1.0
5.100 -2.314 0.000
5.100 2.314 0.000
-4.334 0.000 7.432
Pa Zn Ga
3 4 2
Direct
0.000 0.000 0.000
0.332 0.332 0.333
0.668 0.668 0.667
0.053 0.053 0.389
0.276 0.276 0.945
0.724 0.724 0.055
0.947 0.947 0.611
0.390 0.390 0.723
0.610 0.610 0.277
```

Computed properties:
raw total energy	-41.31	eV per formula unit
ΔH_f (0 K)	-162	kJ/mol of formula units
mass density	10.36	Mg/m³

***

[4]
Pa2ZnGa2: optimized geometry, PBE.

Geometry as POSCAR:
```
Pa2ZnGa2
1.0
5.173 -2.202 0.000
5.173 2.202 0.000
-3.242 0.000 9.031
Pa Zn Ga
4 2 4
Direct
0.076 0.076 0.363
0.186 0.186 0.053
0.814 0.814 0.947
0.924 0.924 0.637
0.238 0.238 0.711
0.762 0.762 0.289
0.376 0.376 0.403
0.500 0.500 0.139
0.500 0.500 0.861
0.624 0.624 0.597
```

Computed properties:
raw total energy	-27.38	eV per formula unit
ΔH_f (0 K)	-102	kJ/mol of formula units
mass density	10.77	Mg/m³